[1]
# CoS8 | Alexandria via LeMat-Bulk | PBE | relaxed
data_CoS8
_cell_length_a 8.772
_cell_length_b 8.020
_cell_length_c 6.718
_cell_angle_alpha 72.44
_cell_angle_beta 60.66
_cell_angle_gamma 46.90
_space_group_name_H-M_alt 'P 1'
_space_group_IT_number 1
loop_
_space_group_symop_operation_xyz
'x,y,z'
loop_
_atom_site_label
_atom_site_type_symbol
_atom_site_fract_x
_atom_site_fract_y
_atom_site_fract_z
_atom_site_occupancy
Co1 Co 0.000 0.000 0.000 1
S1 S 0.042 0.232 0.768 1
S2 S 0.232 0.042 0.958 1
S3 S 0.358 0.642 0.358 1
S4 S 0.396 0.396 0.604 1
S5 S 0.604 0.604 0.396 1
S6 S 0.642 0.358 0.642 1
S7 S 0.768 0.958 0.042 1
S8 S 0.958 0.768 0.232 1
# - DFT total energy (eV/atom) = -4.093
# - formation energy without anion corrections (eV/atom) = 0.365
# - calculated volume (Å³ per cell) = 300.4
# - SG = Fmmm



[2]
# Co9S8 | Alexandria via LeMat-Bulk | PBE | relaxed
data_Co9S8
_cell_length_a 6.927
_cell_length_b 6.927
_cell_length_c 6.927
_cell_angle_alpha 60.00
_cell_angle_beta 60.00
_cell_angle_gamma 60.00
_space_group_name_H-M_alt 'P 1'
_space_group_IT_number 1
loop_
_space_group_symop_operation_xyz
'x,y,z'
loop_
_atom_site_label
_atom_site_type_symbol
_atom_site_fract_x
_atom_site_fract_y
_atom_site_fract_z
_atom_site_occupancy
Co1 Co 0.000 0.000 0.000 1
Co2 Co 0.120 0.627 0.627 1
Co3 Co 0.373 0.373 0.373 1
Co4 Co 0.373 0.373 0.880 1
Co5 Co 0.373 0.880 0.373 1
Co6 Co 0.627 0.120 0.627 1
Co7 Co 0.627 0.627 0.120 1
Co8 Co 0.627 0.627 0.627 1
Co9 Co 0.880 0.373 0.373 1
S1 S 0.239 0.239 0.761 1
S2 S 0.239 0.761 0.239 1
S3 S 0.239 0.761 0.761 1
S4 S 0.250 0.250 0.250 1
S5 S 0.750 0.750 0.750 1
S6 S 0.761 0.239 0.239 1
S7 S 0.761 0.239 0.761 1
S8 S 0.761 0.761 0.239 1
# - DFT total energy (eV/atom) = -6.186
# - formation energy without anion corrections (eV/atom) = -0.482
# - calculated volume (Å³ per cell) = 235.0
# - SG = Fm-3m



[3]
# CoS | Alexandria via LeMat-Bulk | PBE | relaxed
data_CoS
_cell_length_a 10.475
_cell_length_b 3.681
_cell_length_c 4.330
_cell_angle_alpha 90.00
_cell_angle_beta 90.00
_cell_angle_gamma 90.00
_space_group_name_H-M_alt 'P 1'
_space_group_IT_number 1
loop_
_space_group_symop_operation_xyz
'x,y,z'
loop_
_atom_site_label
_atom_site_type_symbol
_atom_site_fract_x
_atom_site_fract_y
_atom_site_fract_z
_atom_site_occupancy
Co1 Co 0.000 0.126 0.000 1
Co2 Co 0.194 0.356 0.710 1
Co3 Co 0.306 0.644 0.210 1
Co4 Co 0.500 0.874 0.500 1
Co5 Co 0.694 0.644 0.210 1
Co6 Co 0.806 0.356 0.710 1
S1 S 0.000 0.619 0.761 1
S2 S 0.179 0.161 0.232 1
S3 S 0.321 0.839 0.732 1
S4 S 0.500 0.381 0.261 1
S5 S 0.679 0.839 0.732 1
S6 S 0.821 0.161 0.232 1
# - DFT total energy (eV/atom) = -5.970
# - formation energy without anion corrections (eV/atom) = -0.353
# - calculated volume (Å³ per cell) = 167.0
# - SG = Pmn2_1



[4]
# CoS | Alexandria via LeMat-Bulk | PBE | relaxed
data_CoS
_cell_length_a 8.294
_cell_length_b 8.294
_cell_length_c 3.529
_cell_angle_alpha 90.00
_cell_angle_beta 90.00
_cell_angle_gamma 120.00
_space_group_name_H-M_alt 'P 1'
_space_group_IT_number 1
loop_
_space_group_symop_operation_xyz
'x,y,z'
loop_
_atom_site_label
_atom_site_type_symbol
_atom_site_fract_x
_atom_site_fract_y
_atom_site_fract_z
_atom_site_occupancy
Co1 Co 0.042 0.619 0.250 1
Co2 Co 0.381 0.423 0.250 1
Co3 Co 0.423 0.042 0.750 1
Co4 Co 0.577 0.958 0.250 1
Co5 Co 0.619 0.577 0.750 1
Co6 Co 0.958 0.381 0.750 1
S1 S 0.115 0.401 0.250 1
S2 S 0.286 0.885 0.250 1
S3 S 0.401 0.286 0.750 1
S4 S 0.599 0.714 0.250 1
S5 S 0.714 0.115 0.750 1
S6 S 0.885 0.599 0.750 1
# - DFT total energy (eV/atom) = -6.044
# - formation energy without anion corrections (eV/atom) = -0.428
# - calculated volume (Å³ per cell) = 210.2
# - SG = P6_3/m



[5]
# Co3S | Alexandria via LeMat-Bulk | PBE | relaxed
data_Co3S
_cell_length_a 5.167
_cell_length_b 5.167
_cell_length_c 3.894
_cell_angle_alpha 90.00
_cell_angle_beta 90.00
_cell_angle_gamma 120.00
_space_group_name_H-M_alt 'P 1'
_space_group_IT_number 1
loop_
_space_group_symop_operation_xyz
'x,y,z'
loop_
_atom_site_label
_atom_site_type_symbol
_atom_site_fract_x
_atom_site_fract_y
_atom_site_fract_z
_atom_site_occupancy
Co1 Co 0.168 0.335 0.250 1
Co2 Co 0.168 0.832 0.250 1
Co3 Co 0.335 0.168 0.750 1
Co4 Co 0.665 0.832 0.250 1
Co5 Co 0.832 0.168 0.750 1
Co6 Co 0.832 0.665 0.750 1
S1 S 0.333 0.667 0.750 1
S2 S 0.667 0.333 0.250 1
# - DFT total energy (eV/atom) = -6.132
# - formation energy without anion corrections (eV/atom) = 0.229
# - calculated volume (Å³ per cell) = 90.1
# - SG = P6_3/mmc



[6]
# CoS | Alexandria via LeMat-Bulk | PBE | relaxed
data_CoS
_cell_length_a 6.337
_cell_length_b 6.213
_cell_length_c 5.048
_cell_angle_alpha 67.58
_cell_angle_beta 65.00
_cell_angle_gamma 47.42
_space_group_name_H-M_alt 'P 1'
_space_group_IT_number 1
loop_
_space_group_symop_operation_xyz
'x,y,z'
loop_
_atom_site_label
_atom_site_type_symbol
_atom_site_fract_x
_atom_site_fract_y
_atom_site_fract_z
_atom_site_occupancy
Co1 Co 0.002 0.002 0.248 1
Co2 Co 0.248 0.248 0.002 1
Co3 Co 0.752 0.752 0.998 1
Co4 Co 0.998 0.998 0.752 1
S1 S 0.112 0.638 0.112 1
S2 S 0.362 0.888 0.362 1
S3 S 0.638 0.112 0.638 1
S4 S 0.888 0.362 0.888 1
# - DFT total energy (eV/atom) = -5.964
# - formation energy without anion corrections (eV/atom) = -0.347
# - calculated volume (Å³ per cell) = 131.3
# - SG = Fddd